Version i
DFT (PBE) results for a relaxed ZnRu3O crystal.

Summary:
N(E_F) in states/eV per cell: 8.7
Volume in Å³/atom: 19.7

Unit cell a=4.617 b=4.617 c=4.617 alpha=90.00 beta=90.00 gamma=90.00
Space group Pm-3m (No. 221)
One atom of each set of equivalent atoms:
1 Zn 0.000 0.000 0.000 (multiplicity 1)
2 Ru 0.000 0.000 0.500 (multiplicity 3)
3 O 0.500 0.500 0.500 (multiplicity 1)

---

Version ii
DFT (PBE) results for a relaxed ZnRu3O crystal.

Summary:
N(E_F) in states/eV per cell: 4.3
Volume in Å³/atom: 13.3

Unit cell a=4.047 b=4.047 c=4.047 alpha=90.00 beta=90.00 gamma=90.00
Space group Pm-3m (No. 221)
One atom of each set of equivalent atoms:
1 Zn 0.000 0.000 0.000 (multiplicity 1)
2 Ru 0.000 0.500 0.500 (multiplicity 3)
3 O 0.500 0.500 0.500 (multiplicity 1)

---

Most favorable first, least favorable last: version ii, version i

---

Version i
DFT (PBE) results for a relaxed Zr2Ru2O crystal.

Summary:
N(E_F) in states/eV per cell: 9.6
Volume in Å³/atom: 18.2

Unit cell a=5.265 b=5.265 c=6.557 alpha=90.00 beta=90.00 gamma=90.00
Space group I4/mmm (No. 139)
One atom of each set of equivalent atoms:
1 Zr 0.000 0.500 0.250 (multiplicity 4)
2 Ru 0.000 0.000 0.199 (multiplicity 4)
3 O 0.000 0.000 0.500 (multiplicity 2)

---

Version ii
DFT (PBE) results for a relaxed Zr2Ru2O crystal.

Summary:
N(E_F) in states/eV per cell: 6.6
Volume in Å³/atom: 17.1

Unit cell a=7.042 b=7.042 c=3.442 alpha=90.00 beta=90.00 gamma=90.00
Space group P4/mbm (No. 127)
One atom of each set of equivalent atoms:
1 Zr 0.167 0.333 0.000 (multiplicity 4)
2 Ru 0.138 0.638 0.500 (multiplicity 4)
3 O 0.000 0.000 0.500 (multiplicity 2)

---

Most favorable first, least favorable last: version ii, version i

---

Version i
DFT (PBE) results for a relaxed Zr2Ru2O crystal.

Summary:
N(E_F) in states/eV per cell: 13.0
Volume in Å³/atom: 17.3

Unit cell a=3.402 b=3.402 c=14.943 alpha=90.00 beta=90.00 gamma=90.00
Space group I4/mmm (No. 139)
One atom of each set of equivalent atoms:
1 Zr 0.000 0.000 0.098 (multiplicity 4)
2 Ru 0.000 0.500 0.250 (multiplicity 4)
3 O 0.000 0.000 0.500 (multiplicity 2)

---

Version ii
DFT (PBE) results for a relaxed Zr2Ru2O crystal.

Summary:
N(E_F) in states/eV per cell: 11.3
Volume in Å³/atom: 16.4

Unit cell a=6.021 b=6.021 c=4.516 alpha=90.00 beta=90.00 gamma=90.00
Space group P4/mbm (No. 127)
One atom of each set of equivalent atoms:
1 Zr 0.179 0.321 0.000 (multiplicity 4)
2 Ru 0.147 0.647 0.500 (multiplicity 4)
3 O 0.000 0.000 0.000 (multiplicity 2)

---

Most favorable first, least favorable last: version ii, version i

---

Version i
DFT (PBE) results for a relaxed ZrRu3O crystal.

Summary:
N(E_F) in states/eV per cell: 3.8
Volume in Å³/atom: 14.1

Unit cell a=4.131 b=4.131 c=4.131 alpha=90.00 beta=90.00 gamma=90.00
Space group Pm-3m (No. 221)
One atom of each set of equivalent atoms:
1 Zr 0.000 0.000 0.000 (multiplicity 1)
2 Ru 0.000 0.500 0.500 (multiplicity 3)
3 O 0.500 0.500 0.500 (multiplicity 1)

---

Version ii
DFT (PBE) results for a relaxed ZrRu3O crystal.

Summary:
N(E_F) in states/eV per cell: 4.6
Volume in Å³/atom: 22.9

Unit cell a=4.853 b=4.853 c=4.853 alpha=90.00 beta=90.00 gamma=90.00
Space group Pm-3m (No. 221)
One atom of each set of equivalent atoms:
1 Zr 0.000 0.000 0.000 (multiplicity 1)
2 Ru 0.000 0.000 0.500 (multiplicity 3)
3 O 0.500 0.500 0.500 (multiplicity 1)

---

Most favorable first, least favorable last: version i, version ii

---

Version i
DFT (PBE) results for a relaxed SO5 crystal.

Summary:
N(E_F) in states/eV per cell: 0.0
Volume in Å³/atom: 19.3

Unit cell a=8.472 b=6.540 c=9.626 alpha=90.00 beta=119.57 gamma=90.00
Space group P2_1/c (No. 14)
One atom of each set of equivalent atoms:
1 S 0.171 0.179 0.417 (multiplicity 4)
2 O 0.046 0.021 0.323 (multiplicity 4)
3 O 0.131 0.194 0.018 (multiplicity 4)
4 O 0.333 0.720 0.685 (multiplicity 4)
5 O 0.334 0.210 0.410 (multiplicity 4)
6 O 0.351 0.593 0.191 (multiplicity 4)

---

Version ii
DFT (PBE) results for a relaxed SO5 crystal.

Summary:
N(E_F) in states/eV per cell: 15.2
Volume in Å³/atom: 16.9

Unit cell a=6.464 b=6.892 c=9.125 alpha=90.00 beta=90.00 gamma=90.00
Space group P2_12_12_1 (No. 19)
One atom of each set of equivalent atoms:
1 S 0.191 0.000 0.177 (multiplicity 4)
2 O 0.007 0.000 0.076 (multiplicity 4)
3 O 0.114 0.999 0.333 (multiplicity 4)
4 O 0.185 0.177 0.650 (multiplicity 4)
5 O 0.185 0.824 0.650 (multiplicity 4)
6 O 0.201 0.500 0.235 (multiplicity 4)

---

Most favorable first, least favorable last: version i, version ii

---

Version i
DFT (PBE) results for a relaxed SO4 crystal.

Summary:
N(E_F) in states/eV per cell: 2.0
Volume in Å³/atom: 8.9

Unit cell a=3.543 b=3.543 c=3.543 alpha=90.00 beta=90.00 gamma=90.00
Space group Pm-3m (No. 221)
One atom of each set of equivalent atoms:
1 S 0.000 0.000 0.000 (multiplicity 1)
2 O 0.000 0.000 0.500 (multiplicity 3)
3 O 0.500 0.500 0.500 (multiplicity 1)

---

Version ii
DFT (PBE) results for a relaxed SO4 crystal.

Summary:
N(E_F) in states/eV per cell: 29.2
Volume in Å³/atom: 23.7

Unit cell a=7.793 b=7.793 c=7.793 alpha=90.00 beta=90.00 gamma=90.00
Space group F-43m (No. 216)
One atom of each set of equivalent atoms:
1 S 0.000 0.000 0.000 (multiplicity 4)
2 O 0.110 0.110 0.110 (multiplicity 16)

---

Most favorable first, least favorable last: version ii, version i

---

Version i
DFT (PBE) results for a relaxed SO4 crystal.

Summary:
N(E_F) in states/eV per cell: 0.0
Volume in Å³/atom: 13.6

Unit cell a=5.446 b=11.620 c=4.442 alpha=90.00 beta=105.02 gamma=90.00
Space group C2/c (No. 15)
One atom of each set of equivalent atoms:
1 S 0.000 0.053 0.250 (multiplicity 4)
2 O 0.128 0.174 0.199 (multiplicity 8)
3 O 0.186 0.038 0.621 (multiplicity 8)

---

Version ii
DFT (PBE) results for a relaxed SO4 crystal.

Summary:
N(E_F) in states/eV per cell: 6.2
Volume in Å³/atom: 18.4

Unit cell a=8.932 b=4.858 c=9.236 alpha=90.00 beta=113.36 gamma=90.00
Space group C2/c (No. 15)
One atom of each set of equivalent atoms:
1 S 0.000 0.083 0.250 (multiplicity 4)
2 O 0.033 0.252 0.393 (multiplicity 8)
3 O 0.150 0.085 0.797 (multiplicity 8)

---

Most favorable first, least favorable last: version ii, version i

---

Version i
DFT (PBE) results for a relaxed SeS2O crystal.

Summary:
N(E_F) in states/eV per cell: 11.4
Volume in Å³/atom: 14.2

Unit cell a=6.099 b=6.099 c=6.099 alpha=90.00 beta=90.00 gamma=90.00
Space group Fm-3m (No. 225)
One atom of each set of equivalent atoms:
1 Se 0.000 0.000 0.000 (multiplicity 4)
2 S 0.250 0.250 0.250 (multiplicity 8)
3 O 0.000 0.000 0.500 (multiplicity 4)

---

Version ii
DFT (PBE) results for a relaxed SeS2O crystal.

Summary:
N(E_F) in states/eV per cell: 7.1
Volume in Å³/atom: 17.6

Unit cell a=4.504 b=4.504 c=13.912 alpha=90.00 beta=90.00 gamma=90.00
Space group I-42d (No. 122)
One atom of each set of equivalent atoms:
1 Se 0.000 0.000 0.000 (multiplicity 4)
2 S 0.141 0.250 0.625 (multiplicity 8)
3 O 0.000 0.000 0.500 (multiplicity 4)

---

Most favorable first, least favorable last: version ii, version i

---

Version i
DFT (PBE) results for a relaxed SeS2O crystal.

Summary:
N(E_F) in states/eV per cell: 1.9
Volume in Å³/atom: 19.4

Unit cell a=3.6139 b=3.6139 c=20.5798 alpha=90.00 beta=90.00 gamma=120.00
Space group R-3m (No. 166, hexagonal axes)
One atom of each set of equivalent atoms:
1 Se 0.0000 0.0000 0.0000 (multiplicity 3)
2 S 0.0000 0.0000 0.4165 (multiplicity 6)
3 O 0.0000 0.0000 0.5000 (multiplicity 3)

---

Version ii
DFT (PBE) results for a relaxed SeS2O crystal.

Summary:
N(E_F) in states/eV per cell: 7.3
Volume in Å³/atom: 15.7

Unit cell a=3.0219 b=3.0219 c=23.7505 alpha=90.00 beta=90.00 gamma=120.00
Space group R-3m (No. 166, hexagonal axes)
One atom of each set of equivalent atoms:
1 Se 0.0000 0.0000 0.0000 (multiplicity 3)
2 S 0.0000 0.0000 0.1006 (multiplicity 6)
3 O 0.0000 0.0000 0.5000 (multiplicity 3)

---

Most favorable first, least favorable last: version i, version ii

---

Version i
DFT (PBE) results for a relaxed SeS3O crystal.

Summary:
N(E_F) in states/eV per cell: 8.7
Volume in Å³/atom: 20.9

Unit cell a=4.713 b=4.713 c=4.713 alpha=90.00 beta=90.00 gamma=90.00
Space group Pm-3m (No. 221)
One atom of each set of equivalent atoms:
1 Se 0.000 0.000 0.000 (multiplicity 1)
2 S 0.000 0.000 0.500 (multiplicity 3)
3 O 0.500 0.500 0.500 (multiplicity 1)

---

Version ii
DFT (PBE) results for a relaxed SeS3O crystal.

Summary:
N(E_F) in states/eV per cell: 4.2
Volume in Å³/atom: 15.8

Unit cell a=4.288 b=4.288 c=4.288 alpha=90.00 beta=90.00 gamma=90.00
Space group Pm-3m (No. 221)
One atom of each set of equivalent atoms:
1 Se 0.000 0.000 0.000 (multiplicity 1)
2 S 0.000 0.500 0.500 (multiplicity 3)
3 O 0.500 0.500 0.500 (multiplicity 1)

---

Most favorable first, least favorable last: version ii, version i

---

Version i
DFT (PBE) results for a relaxed Se2S2O7 crystal.

Summary:
N(E_F) in states/eV per cell: 0.0
Volume in Å³/atom: 20.2

Unit cell a=8.769 b=9.736 c=10.485 alpha=90.00 beta=97.50 gamma=90.00
Space group C2/c (No. 15)
One atom of each set of equivalent atoms:
1 Se 0.118 0.113 0.060 (multiplicity 8)
2 S 0.160 0.395 0.321 (multiplicity 8)
3 O 0.000 0.479 0.250 (multiplicity 4)
4 O 0.044 0.085 0.908 (multiplicity 8)
5 O 0.108 0.270 0.379 (multiplicity 8)
6 O 0.194 0.493 0.934 (multiplicity 8)

---

Version ii
DFT (PBE) results for a relaxed Se2S2O7 crystal.

Summary:
N(E_F) in states/eV per cell: 20.2
Volume in Å³/atom: 18.4

Unit cell a=7.742 b=6.344 c=17.784 alpha=90.00 beta=112.14 gamma=90.00
Space group P2_1/c (No. 14)
One atom of each set of equivalent atoms:
1 Se 0.089 0.199 0.062 (multiplicity 4)
2 Se 0.203 0.545 0.494 (multiplicity 4)
3 S 0.223 0.642 0.245 (multiplicity 4)
4 S 0.393 0.592 0.887 (multiplicity 4)
5 O 0.098 0.557 0.281 (multiplicity 4)
6 O 0.134 0.696 0.159 (multiplicity 4)
7 O 0.243 0.632 0.917 (multiplicity 4)
8 O 0.296 0.628 0.786 (multiplicity 4)
9 O 0.387 0.507 0.262 (multiplicity 4)
10 O 0.450 0.125 0.392 (multiplicity 4)
11 O 0.457 0.248 0.583 (multiplicity 4)

---

Most favorable first, least favorable last: version ii, version i